[1]
PmGa7Co2 | PBE | optimized geometry

The symmetry is Cmmm. Its calculated formation energy is -91.4 meV per atom. The calculated volume is 20.57 Å³/atom.

a b c (Å): 4.5379 7.2597 7.2597
angles (deg): 120.65 90.00 90.00
Sites, in units of the cell vectors:
Ga: 0.5000 0.9711 0.6730
Ga: 0.5000 0.6730 0.9711
Ga: 0.5000 0.5000 0.5000
Ga: 0.0000 0.6877 0.3123
Ga: 0.5000 0.0289 0.3270
Ga: 0.5000 0.3270 0.0289
Ga: 0.0000 0.3123 0.6877
Pm: 0.0000 0.0000 0.0000
Co: 0.5000 0.6811 0.3189
Co: 0.5000 0.3189 0.6811

[2]
AlRe2Cl | PBE | optimized geometry

The symmetry is I-4m2. For the polymorph energy (0 for the lowest one), the calculation gives 896 meV per atom. The raw formation energy comes out at 0.83 eV per atom. The calculated volume is 15.43 Å³/atom.

a b c (Å): 4.6443 4.6443 4.6443
angles (deg): 127.10 127.10 78.08
Sites, in units of the cell vectors:
Re: 0.2500 0.7500 0.5000
Re: 0.0000 0.0000 0.0000
Cl: 0.7500 0.2500 0.5000
Al: 0.5000 0.5000 0.0000

[3]
ZnFe2Br | PBE | optimized geometry

The symmetry is Imm2. For the polymorph energy (0 for the lowest one), the calculation gives 114 meV per atom. The raw formation energy comes out at 0.36 eV per atom. The calculated volume is 17.62 Å³/atom.

a b c (Å): 6.2286 6.2286 6.2286
angles (deg): 151.74 141.81 48.18
Last column: magnetic moment on the atom in μB.
Sites, in units of the cell vectors:
Zn: 0.4666 0.4666 0.0000  -0.07
Br: 0.1979 0.6979 0.5000  0.07
Fe: 0.8356 0.3356 0.5000  2.86
Fe: 0.9999 0.9999 0.0000  2.54

[4]
PaBe2IrPt2 | PBE | optimized geometry

The symmetry is I4/mmm. Its calculated formation energy is -559.6 meV per atom. The calculated volume is 17.01 Å³/atom.

a b c (Å): 3.9072 3.9072 7.2334
angles (deg): 105.67 105.67 90.00
Sites, in units of the cell vectors:
Be: 0.8336 0.8336 0.6672
Be: 0.1664 0.1664 0.3328
Pt: 0.2500 0.7500 0.5000
Pt: 0.7500 0.2500 0.5000
Pa: 0.5000 0.5000 0.0000
Ir: 0.0000 0.0000 0.0000

[5]
Nd4TePtS2 | PBE | optimized geometry

The symmetry is P2/m. The raw formation energy comes out at -1.59 eV per atom. The calculated volume is 26.72 Å³/atom.

a b c (Å): 4.1422 7.3830 7.3858
angles (deg): 71.13 90.00 90.00
Sites, in units of the cell vectors:
Te: 0.0000 0.5000 0.5000
S: 0.0000 0.0000 0.0000
S: 0.5000 0.0000 0.5000
Pt: 0.5000 0.5000 0.0000
Nd: 0.5000 0.7770 0.2310
Nd: 0.0000 0.2444 0.2370
Nd: 0.5000 0.2230 0.7690
Nd: 0.0000 0.7556 0.7630

[6]
Tb2CSe2N2 | PBE | optimized geometry

The symmetry is C2/m. The raw formation energy comes out at -1.29 eV per atom. The calculated volume is 19.21 Å³/atom.

a b c (Å): 4.1130 5.1266 7.0292
angles (deg): 97.35 90.00 113.65
Sites, in units of the cell vectors:
Tb: 0.6846 0.3692 0.2592
Tb: 0.3154 0.6308 0.7408
C: 0.0000 0.0000 0.5000
N: 0.8788 0.7577 0.5505
N: 0.1212 0.2423 0.4495
Se: 0.3750 0.7499 0.1575
Se: 0.6250 0.2501 0.8425

[7]
Rb2PrTlBr6 | PBE | optimized geometry

The symmetry is P2_1/c. The raw formation energy comes out at -1.66 eV per atom. The calculated volume is 41.59 Å³/atom.

a b c (Å): 8.1498 8.6929 11.7438
angles (deg): 90.00 88.96 90.00
Sites, in units of the cell vectors:
Rb: 0.5296 0.5774 0.7539
Rb: 0.4704 0.4226 0.2461
Rb: 0.9704 0.0774 0.7461
Rb: 0.0296 0.9226 0.2539
Br: 0.2904 0.6810 0.0563
Br: 0.7096 0.3190 0.9437
Br: 0.1229 0.4533 0.7666
Br: 0.3279 0.7183 0.4319
Br: 0.3771 0.9533 0.7334
Br: 0.1721 0.2183 0.0681
Br: 0.6229 0.0467 0.2666
Br: 0.2096 0.1810 0.4437
Br: 0.8771 0.5467 0.2334
Br: 0.7904 0.8190 0.5563
Br: 0.8279 0.7817 0.9319
Br: 0.6721 0.2817 0.5681
Pr: 0.5000 0.0000 0.5000
Pr: 0.0000 0.5000 0.0000
Tl: 0.5000 0.0000 0.0000
Tl: 0.0000 0.5000 0.5000

[8]
BiTeC2 | PBE | optimized geometry

The symmetry is Fm-3m. For the polymorph energy (0 for the lowest one), the calculation gives 583 meV per atom. The raw formation energy comes out at 2.36 eV per atom. The calculated volume is 16.41 Å³/atom.

a b c (Å): 4.5282 4.5282 4.5282
angles (deg): 60.00 60.00 60.00
Sites, in units of the cell vectors:
C: 0.2500 0.2500 0.2500
C: 0.7500 0.7500 0.7500
Bi: 0.5000 0.5000 0.5000
Te: 0.0000 0.0000 0.0000

[9]
TbNd12Tm6 | PBE | optimized geometry

The symmetry is R-3. For the polymorph energy (0 for the lowest one), the calculation gives 0 meV per atom. Its calculated formation energy is 18.0 meV per atom. The calculated volume is 33.35 Å³/atom.

a b c (Å): 9.5546 9.5546 9.5546
angles (deg): 110.89 110.89 110.89
Sites, in units of the cell vectors:
Nd: 0.2629 0.8956 0.8427
Nd: 0.6280 0.9425 0.4197
Nd: 0.3720 0.0575 0.5803
Nd: 0.9425 0.4197 0.6280
Nd: 0.1044 0.1573 0.7371
Nd: 0.5803 0.3720 0.0575
Nd: 0.8427 0.2629 0.8956
Nd: 0.4197 0.6280 0.9425
Nd: 0.7371 0.1044 0.1573
Nd: 0.1573 0.7371 0.1044
Nd: 0.0575 0.5803 0.3720
Nd: 0.8956 0.8427 0.2629
Tb: 0.0000 0.0000 0.0000
Tm: 0.7855 0.6820 0.5282
Tm: 0.6820 0.5282 0.7855
Tm: 0.2145 0.3180 0.4718
Tm: 0.4718 0.2145 0.3180
Tm: 0.5282 0.7855 0.6820
Tm: 0.3180 0.4718 0.2145

[10]
PRuW2 | PBE | optimized geometry

The symmetry is I-4m2. Its calculated formation energy is 257.3 meV per atom. The calculated volume is 14.59 Å³/atom.

a b c (Å): 4.9248 4.9248 4.9248
angles (deg): 135.25 135.25 65.14
Sites, in units of the cell vectors:
Ru: 0.7500 0.2500 0.5000
W: 0.0000 0.0000 0.0000
W: 0.2500 0.7500 0.5000
P: 0.5000 0.5000 0.0000

[11]
ScP2Rh | PBE | optimized geometry

The symmetry is F-43m. For the polymorph energy (0 for the lowest one), the calculation gives 613 meV per atom. Its calculated formation energy is -308.5 meV per atom. The calculated volume is 15.48 Å³/atom.

a b c (Å): 4.4406 4.4406 4.4406
angles (deg): 60.00 60.00 60.00
Sites, in units of the cell vectors:
P: 0.0000 0.0000 0.0000
P: 0.2500 0.2500 0.2500
Rh: 0.5000 0.5000 0.5000
Sc: 0.7500 0.7500 0.7500

[12]
Sr2CaCr | PBE | optimized geometry

The symmetry is F-43m. For the polymorph energy (0 for the lowest one), the calculation gives 72 meV per atom. Its calculated formation energy is 472.1 meV per atom. The calculated volume is 37.83 Å³/atom.

a b c (Å): 5.9814 5.9814 5.9814
angles (deg): 60.00 60.00 60.00
Last column: magnetic moment on the atom in μB.
Sites, in units of the cell vectors:
Sr: 0.0000 0.0000 0.0000  0.04
Sr: 0.2500 0.2500 0.2500  0.01
Ca: 0.5000 0.5000 0.5000  0.02
Cr: 0.7500 0.7500 0.7500  3.99